1.
# SCAN CdIn2Os, single point on PBEsol structure
# - Formation energy: 1.951 eV/f.u.
data_CdIn2Os
_symmetry_space_group_name_H-M 'P 1'
_symmetry_Int_Tables_number 1
_cell_length_a 10.398
_cell_length_b 10.398
_cell_length_c 10.398
_cell_angle_alpha 16.54
_cell_angle_beta 16.54
_cell_angle_gamma 16.54
loop_
_symmetry_equiv_pos_as_xyz
'x,y,z'
loop_
_atom_site_label
_atom_site_type_symbol
_atom_site_fract_x
_atom_site_fract_y
_atom_site_fract_z
Cd1 Cd 0.000 0.000 0.000
In1 In 0.241 0.241 0.241
In2 In 0.478 0.478 0.478
Os1 Os 0.740 0.740 0.740

---

2.
# SCAN CdInOs, single point on PBEsol structure
# - Formation energy: 1.675 eV/f.u.
data_CdInOs
_symmetry_space_group_name_H-M 'P 1'
_symmetry_Int_Tables_number 1
_cell_length_a 5.137
_cell_length_b 5.137
_cell_length_c 5.137
_cell_angle_alpha 147.79
_cell_angle_beta 132.36
_cell_angle_gamma 58.68
loop_
_symmetry_equiv_pos_as_xyz
'x,y,z'
loop_
_atom_site_label
_atom_site_type_symbol
_atom_site_fract_x
_atom_site_fract_y
_atom_site_fract_z
Cd1 Cd 0.000 0.000 0.000
In1 In 0.682 0.682 0.000
Os1 Os 0.336 0.336 0.000

---

3.
# SCAN CdIn2Os, single point on PBEsol structure
# - Formation energy: 1.484 eV/f.u.
data_CdIn2Os
_symmetry_space_group_name_H-M 'P 1'
_symmetry_Int_Tables_number 1
_cell_length_a 5.237
_cell_length_b 5.237
_cell_length_c 5.237
_cell_angle_alpha 133.97
_cell_angle_beta 133.97
_cell_angle_gamma 67.13
loop_
_symmetry_equiv_pos_as_xyz
'x,y,z'
loop_
_atom_site_label
_atom_site_type_symbol
_atom_site_fract_x
_atom_site_fract_y
_atom_site_fract_z
Cd1 Cd 0.000 0.000 0.000
In1 In 0.500 0.500 0.000
In2 In 0.750 0.250 0.500
Os1 Os 0.250 0.750 0.500

---

4.
# SCAN CdIn2Os, single point on PBEsol structure
# - Formation energy: 1.650 eV/f.u.
data_CdIn2Os
_symmetry_space_group_name_H-M 'P 1'
_symmetry_Int_Tables_number 1
_cell_length_a 3.625
_cell_length_b 3.625
_cell_length_c 5.750
_cell_angle_alpha 90.00
_cell_angle_beta 90.00
_cell_angle_gamma 90.00
loop_
_symmetry_equiv_pos_as_xyz
'x,y,z'
loop_
_atom_site_label
_atom_site_type_symbol
_atom_site_fract_x
_atom_site_fract_y
_atom_site_fract_z
Cd1 Cd 0.000 0.000 0.000
In1 In 0.000 0.000 0.528
In2 In 0.500 0.500 0.243
Os1 Os 0.500 0.500 0.742

---

5.
# SCAN CdIn2Os, single point on PBEsol structure
# - Formation energy: 2.130 eV/f.u.
data_CdIn2Os
_symmetry_space_group_name_H-M 'P 1'
_symmetry_Int_Tables_number 1
_cell_length_a 2.977
_cell_length_b 4.884
_cell_length_c 5.266
_cell_angle_alpha 90.00
_cell_angle_beta 90.95
_cell_angle_gamma 90.00
loop_
_symmetry_equiv_pos_as_xyz
'x,y,z'
loop_
_atom_site_label
_atom_site_type_symbol
_atom_site_fract_x
_atom_site_fract_y
_atom_site_fract_z
Cd1 Cd 0.000 0.000 0.000
In1 In 0.254 0.500 0.259
In2 In 0.746 0.500 0.741
Os1 Os 0.500 0.000 0.500

---

6.
# SCAN CdIn2Os, single point on PBEsol structure
# - Formation energy: 1.530 eV/f.u.
data_CdIn2Os
_symmetry_space_group_name_H-M 'P 1'
_symmetry_Int_Tables_number 1
_cell_length_a 3.091
_cell_length_b 3.091
_cell_length_c 8.263
_cell_angle_alpha 90.00
_cell_angle_beta 90.00
_cell_angle_gamma 90.00
loop_
_symmetry_equiv_pos_as_xyz
'x,y,z'
loop_
_atom_site_label
_atom_site_type_symbol
_atom_site_fract_x
_atom_site_fract_y
_atom_site_fract_z
Cd1 Cd 0.000 0.000 0.000
In1 In 0.500 0.500 0.292
In2 In 0.500 0.500 0.708
Os1 Os 0.000 0.000 0.500

---

no.,density of states at the Fermi level (states/eV per cell)
1,2.283
2,1.814
3,1.228
4,1.534
5,1.317
6,2.469